The following is a PBE+U calculation of RbTl2MoO4 after structural relaxation, from Alexandria.

Total energy = -86.3 eV per cell
Space-group type = Pmn2_1, No. 31

Structure (POSCAR):
```
RbTl2MoO4
1.0
-1.675 1.265 -5.512
4.677 -8.165 -3.295
-5.816 -3.701 0.918
Tl O Mo Rb
4 8 2 2
Cartesian
-0.286 -3.758 -3.953
1.206 -5.617 -1.677
-1.667 -7.445 -1.224
-3.229 -5.631 -3.489
-1.445 -1.920 -5.602
-1.415 -8.071 -3.867
0.518 -1.420 -2.445
-1.474 0.999 -5.311
-4.767 -4.034 -5.078
1.079 -6.483 -4.261
0.902 -9.247 -5.228
-0.628 -7.177 -6.574
-0.021 -7.732 -4.963
0.931 -1.636 -0.698
3.625 -7.079 -5.578
-4.207 -1.161 -4.996
```